6
Lattice="1.957 1.130 10.471 -1.957 1.130 10.471 0.000 -2.259 10.471" Properties=species:S:1:pos:R:3 comment="PmTlO (GGA-PBE, optimized geometry)" final_energy_ev_per_atom=-5.967 mass_density_g_cm3=8.7 raw_formation_energy_kj_per_mol_fu=-562.0 dos_ef_per_ev_atom=0.171 m_tot_mub_per_cell=0.0 pbc="T T T"
Pm 0.000 0.000 3.751
Pm 0.000 0.000 27.664
Tl 0.000 0.000 11.565
Tl 0.000 0.000 19.850
O 0.000 0.000 6.143
O 0.000 0.000 25.272